{
  "formula": "TlFe2ReC",
  "functional": "PBE-GGA",
  "state": "optimized geometry",
  "lattice": [[4.791, 0.000, 0.000], [0.000, 4.791, 0.000], [0.000, 0.000, 5.092]],
  "species": ["Tl", "Fe", "Fe", "Re", "C"],
  "frac_coords": [[0.000, 0.000, 0.000], [0.000, 0.500, 0.000], [0.500, 0.000, 0.000], [0.000, 0.000, 0.500], [0.500, 0.500, 0.500]],
  "m_tot_mub_per_fu": 5.53,
  "formation_enthalpy_0k_mev_per_atom": 3542,
  "dos_ef_per_ev_fu": 9.53,
  "total_energy_ev_per_cell": -23.255
}

{
  "formula": "ZnFe2ReC",
  "functional": "PBE-GGA",
  "state": "optimized geometry",
  "lattice": [[3.859, 0.000, 0.000], [0.000, 3.859, 0.000], [0.000, 0.000, 4.044]],
  "species": ["Zn", "Fe", "Fe", "Re", "C"],
  "frac_coords": [[0.000, 0.000, 0.000], [0.000, 0.500, 0.500], [0.500, 0.000, 0.500], [0.500, 0.500, 0.000], [0.500, 0.500, 0.500]],
  "m_tot_mub_per_fu": 4.51,
  "formation_enthalpy_0k_mev_per_atom": 151,
  "dos_ef_per_ev_fu": 3.62,
  "total_energy_ev_per_cell": -39.119
}

{
  "formula": "Zr2FeReC",
  "functional": "PBE-GGA",
  "state": "optimized geometry",
  "lattice": [[4.585, 0.000, 0.000], [0.000, 4.585, 0.000], [0.000, 0.000, 3.925]],
  "species": ["Zr", "Zr", "Fe", "Re", "C"],
  "frac_coords": [[0.000, 0.500, 0.000], [0.500, 0.000, 0.000], [0.000, 0.000, 0.500], [0.500, 0.500, 0.500], [0.500, 0.500, 0.000]],
  "m_tot_mub_per_fu": 2.35,
  "formation_enthalpy_0k_mev_per_atom": -137,
  "dos_ef_per_ev_fu": 3.31,
  "total_energy_ev_per_cell": -47.918
}

{
  "formula": "ZrFe2ReC",
  "functional": "PBE-GGA",
  "state": "optimized geometry",
  "lattice": [[3.911, 0.000, 0.000], [0.000, 3.911, 0.000], [0.000, 0.000, 4.103]],
  "species": ["Zr", "Fe", "Fe", "Re", "C"],
  "frac_coords": [[0.000, 0.000, 0.000], [0.000, 0.500, 0.500], [0.500, 0.000, 0.500], [0.500, 0.500, 0.000], [0.500, 0.500, 0.500]],
  "m_tot_mub_per_fu": 0.00,
  "formation_enthalpy_0k_mev_per_atom": -104,
  "dos_ef_per_ev_fu": 4.52,
  "total_energy_ev_per_cell": -47.664
}

{
  "formula": "FeRhC",
  "functional": "PBE-GGA",
  "state": "optimized geometry",
  "lattice": [[1.518, 0.876, 3.971], [-1.518, 0.876, 3.971], [0.000, -1.753, 3.971]],
  "species": ["Fe", "Rh", "C"],
  "frac_coords": [[0.000, 0.000, 0.000], [0.503, 0.503, 0.503], [0.277, 0.277, 0.277]],
  "m_tot_mub_per_fu": 0.00,
  "formation_enthalpy_0k_mev_per_atom": 281,
  "dos_ef_per_ev_fu": 2.88,
  "total_energy_ev_per_cell": -24.195,
  "relative_energy_ev_per_atom": 0.000
}

{
  "formula": "FeRhC",
  "functional": "PBE-GGA",
  "state": "optimized geometry",
  "lattice": [[2.751, 0.000, 0.000], [0.000, 1.347, 4.157], [0.000, -1.347, 4.157]],
  "species": ["Fe", "Rh", "C"],
  "frac_coords": [[0.000, 0.000, 0.000], [0.500, 0.271, 0.271], [0.500, 0.575, 0.575]],
  "m_tot_mub_per_fu": 1.84,
  "formation_enthalpy_0k_mev_per_atom": 287,
  "dos_ef_per_ev_fu": 1.83,
  "total_energy_ev_per_cell": -24.177,
  "relative_energy_ev_per_atom": 0.006
}